The following is a DFT calculation (PBE) of a relaxed structure of Mg2PaRuO8.

Cell: 4.740 4.739 6.535 Å, 90.00 90.00 91.27°
Sites, in units of the cell vectors:
Mg: 0.500 0.500 0.756
Mg: 0.500 0.500 0.244
Pa: 0.000 0.000 0.500
Ru: 0.000 0.000 0.000
O: 0.193 0.807 0.220
O: 0.719 0.720 0.000
O: 0.807 0.193 0.220
O: 0.807 0.193 0.780
O: 0.281 0.280 0.000
O: 0.193 0.807 0.780
O: 0.695 0.695 0.500
O: 0.305 0.305 0.500

Formation energy without anion corrections, eV per atom: -2.15
DOS at the Fermi energy, states/eV/atom: 0.338
Magnetic moment, μB per formula unit: 0.44